The following is a PBE-GGA calculation of an optimized crystal structure of Cd2GaPb, from the Alexandria database.

The structure in CIF format:
```
data_Cd2GaPb
_cell_length_a 4.626
_cell_length_b 4.626
_cell_length_c 4.597
_cell_angle_alpha 90.00
_cell_angle_beta 90.00
_cell_angle_gamma 90.00
_space_group_name_H-M_alt 'P 4/m m m'
_space_group_IT_number 123
_space_group_name_Hall '-P 4 2'
loop_
_atom_site_label
_atom_site_type_symbol
_atom_site_fract_x
_atom_site_fract_y
_atom_site_fract_z
Cd1 Cd 0.000 0.500 0.000
Ga1 Ga 0.000 0.000 0.500
Pb1 Pb 0.500 0.500 0.500
```

Values from the calculation:
- Final energy: -2.057 eV per atom
- E_form: 8.2 kJ per mole of atoms
- Relative energy among the computed polymorphs: 0.021 eV/atom